# Sc4SiHgO (PBE, relaxed)
data_Sc4SiHgO
_chemical_formula_sum 'Sc16 Si4 Hg4 O4'
_space_group_name_H-M_alt 'C m c m'
_space_group_IT_number 63
_space_group_name_Hall '-C 2c 2'
_cell_length_a 6.008
_cell_length_b 14.693
_cell_length_c 6.008
_cell_angle_alpha 90.00
_cell_angle_beta 90.00
_cell_angle_gamma 90.00
loop_
_atom_site_label
_atom_site_fract_x
_atom_site_fract_y
_atom_site_fract_z
Sc1 0.000 0.078 0.250
Sc2 0.000 0.418 0.250
Sc3 0.250 0.250 0.000
Si1 0.000 0.115 0.750
Hg1 0.000 0.390 0.750
O1 0.000 0.251 0.250
# Formation energy from raw total energies in eV/f.u.: -8.441
# Crystal system: orthorhombic
# Calculated density in Mg/m³: 5.3
# Electronic total energy in eV per atom: -6.350

=====

# Sm2ScHgO (PBE, relaxed)
data_Sm2ScHgO
_chemical_formula_sum 'Sm2 Sc1 Hg1 O1'
_space_group_name_H-M_alt 'P 4/m m m'
_space_group_IT_number 123
_space_group_name_Hall '-P 4 2'
_cell_length_a 4.912
_cell_length_b 4.912
_cell_length_c 4.456
_cell_angle_alpha 90.00
_cell_angle_beta 90.00
_cell_angle_gamma 90.00
loop_
_atom_site_label
_atom_site_fract_x
_atom_site_fract_y
_atom_site_fract_z
Sm1 0.000 0.500 0.000
Sc1 0.000 0.000 0.500
Hg1 0.500 0.500 0.500
O1 0.000 0.000 0.000
# Formation energy from raw total energies in eV/f.u.: -6.844
# Crystal system: tetragonal
# Calculated density in Mg/m³: 8.7
# Electronic total energy in eV per atom: -5.575

=====

# SrSc2HgO (PBE, relaxed)
data_SrSc2HgO
_chemical_formula_sum 'Sr1 Sc2 Hg1 O1'
_space_group_name_H-M_alt 'P 4/m m m'
_space_group_IT_number 123
_space_group_name_Hall '-P 4 2'
_cell_length_a 4.533
_cell_length_b 4.533
_cell_length_c 5.037
_cell_angle_alpha 90.00
_cell_angle_beta 90.00
_cell_angle_gamma 90.00
loop_
_atom_site_label
_atom_site_fract_x
_atom_site_fract_y
_atom_site_fract_z
Sr1 0.000 0.000 0.000
Sc1 0.000 0.500 0.500
Hg1 0.500 0.500 0.000
O1 0.000 0.000 0.500
# Formation energy from raw total energies in eV/f.u.: -6.095
# Crystal system: tetragonal
# Calculated density in Mg/m³: 6.3
# Electronic total energy in eV per atom: -5.140